Below is a relaxed RbZrAsO crystal, with properties calculated at the PBE level.

Output
Polymorph energy (0 for the lowest one)   1107 meV/atom

Cell: 4.728 4.728 10.421 Å, 90.00 90.00 90.00°
Fractional positions:
As (0.000, 0.500, 0.381)
As (0.500, 0.000, 0.619)
O (0.000, 0.000, 0.000)
O (0.500, 0.500, 0.000)
Rb (0.500, 0.000, 0.125)
Rb (0.000, 0.500, 0.875)
Zr (0.000, 0.000, 0.500)
Zr (0.500, 0.500, 0.500)